An optimized crystal structure of TmTlSn. Source: OQMD via LeMat-Bulk, functional PBE.

## Properties
The total moment is 0.01 μB per formula unit. The calculation puts the relative energy among the computed polymorphs at 0.148 eV/atom. As for the total energy: -3.63 eV/atom.

a b c (Å): 7.269 7.269 7.269
angles (deg): 90.00 90.00 90.00
Space group F-43m (No. 216)
Asymmetric unit:
Tm 0.000 0.000 0.000 (multiplicity 4)
Tl 0.000 0.000 0.500 (multiplicity 4)
Sn 0.250 0.250 0.750 (multiplicity 4)